[1]
{"formula": "Ba4SnBi", "functional": "PBE", "state": "optimized geometry", "space_group": "I4_1/a, No. 88", "magnetic_moment_mub_per_cell": 1.72, "e_tot_ha_per_atom": -0.120, "dos_at_fermi_per_ev_fu": 2.41, "e_form_mev_per_atom": -661.2, "cell": [[8.428, 0.624, 0.000], [-0.627, 8.428, 0.000], [-3.900, -4.526, 8.445]], "species": ["Ba", "Ba", "Ba", "Ba", "Ba", "Ba", "Ba", "Ba", "Sn", "Sn", "Bi", "Bi"], "frac_coords": [[0.000, 0.244, 0.001], [0.500, 0.757, 0.001], [0.244, 0.501, 0.501], [0.756, 0.499, 0.499], [0.243, 0.000, 0.499], [0.500, 0.243, 0.999], [0.757, 0.000, 0.501], [0.000, 0.756, 0.999], [0.125, 0.875, 0.750], [0.875, 0.125, 0.250], [0.375, 0.625, 0.250], [0.625, 0.375, 0.750]]}



[2]
{"formula": "BaSn3Bi", "functional": "PBE", "state": "optimized geometry", "space_group": "Pm-3m, No. 221", "magnetic_moment_mub_per_cell": 0.00, "e_tot_ha_per_atom": -0.094, "dos_at_fermi_per_ev_fu": 6.98, "e_form_mev_per_atom": 1007.8, "polymorph_energy_kj_per_mol_atoms": 124.6, "cell": [[-3.491, -3.887, 3.226], [5.051, -2.716, 2.194], [0.038, 3.901, 4.742]], "species": ["Bi", "Sn", "Sn", "Sn", "Ba"], "frac_coords": [[0.500, 0.500, 0.500], [0.000, 0.500, 0.000], [0.000, 0.000, 0.500], [0.500, 0.000, 0.000], [0.000, 0.000, 0.000]]}



[3]
{"formula": "BaSn4Bi", "functional": "PBE", "state": "optimized geometry", "space_group": "F-43m, No. 216", "magnetic_moment_mub_per_cell": 0.00, "e_tot_ha_per_atom": -0.142, "dos_at_fermi_per_ev_fu": 4.96, "e_form_mev_per_atom": -219.4, "polymorph_energy_kj_per_mol_atoms": 8.1, "cell": [[6.415, 0.000, 0.000], [3.207, 5.556, 0.000], [3.207, 1.852, 5.238]], "species": ["Bi", "Sn", "Sn", "Sn", "Sn", "Ba"], "frac_coords": [[0.000, 0.000, 0.000], [0.627, 0.627, 0.120], [0.627, 0.120, 0.627], [0.627, 0.627, 0.627], [0.120, 0.627, 0.627], [0.250, 0.250, 0.250]]}



[4]
{"formula": "BaSn2Bi2", "functional": "PBE", "state": "optimized geometry", "space_group": "P4/mbm, No. 127", "magnetic_moment_mub_per_cell": 0.00, "e_tot_ha_per_atom": -0.139, "dos_at_fermi_per_ev_fu": 4.71, "e_form_mev_per_atom": -247.2, "cell": [[-2.330, 7.883, -3.594], [0.923, -3.475, -8.220], [-4.023, -1.170, 0.043]], "species": ["Bi", "Bi", "Bi", "Bi", "Sn", "Sn", "Sn", "Sn", "Ba", "Ba"], "frac_coords": [[0.177, 0.677, 0.500], [0.677, 0.823, 0.500], [0.823, 0.323, 0.500], [0.323, 0.177, 0.500], [0.381, 0.881, 0.000], [0.881, 0.619, 0.000], [0.619, 0.119, 0.000], [0.119, 0.381, 0.000], [0.000, 0.000, 0.000], [0.500, 0.500, 0.000]]}



[5]
{"formula": "Ba5SnBi2", "functional": "PBE", "state": "optimized geometry", "space_group": "I4mm, No. 107", "magnetic_moment_mub_per_cell": 1.06, "e_tot_ha_per_atom": -0.116, "dos_at_fermi_per_ev_fu": 7.08, "e_form_mev_per_atom": -489.9, "cell": [[8.102, 0.000, 0.000], [0.000, 8.102, 0.000], [-4.051, -4.050, 5.048]], "species": ["Ba", "Ba", "Ba", "Ba", "Ba", "Sn", "Bi", "Bi"], "frac_coords": [[0.714, 0.230, 0.944], [0.229, 0.229, 0.943], [0.714, 0.714, 0.943], [0.229, 0.714, 0.944], [0.741, 0.741, 0.482], [0.206, 0.205, 0.411], [0.222, 0.722, 0.444], [0.722, 0.222, 0.444]]}



[6]
{"formula": "Ba2SnBi2", "functional": "PBE", "state": "optimized geometry", "space_group": "Immm, No. 71", "magnetic_moment_mub_per_cell": 0.00, "e_tot_ha_per_atom": -0.141, "dos_at_fermi_per_ev_fu": 2.70, "e_form_mev_per_atom": -704.2, "polymorph_energy_kj_per_mol_atoms": 0.0, "cell": [[-1.899, 0.150, 4.624], [-1.142, -6.344, 2.442], [4.613, -2.108, 4.667]], "species": ["Ba", "Ba", "Sn", "Bi", "Bi"], "frac_coords": [[0.284, 0.215, 0.715], [0.716, 0.785, 0.285], [0.500, 0.500, 0.000], [0.000, 0.213, 0.287], [0.000, 0.787, 0.713]]}



[7]
{"formula": "Ba2SnBi2", "functional": "PBE", "state": "optimized geometry", "space_group": "I4/mmm, No. 139", "magnetic_moment_mub_per_cell": 0.00, "e_tot_ha_per_atom": -0.130, "dos_at_fermi_per_ev_fu": 5.12, "e_form_mev_per_atom": -411.1, "polymorph_energy_kj_per_mol_atoms": 28.3, "cell": [[-4.986, -4.771, -1.182], [3.879, -4.854, 3.228], [-2.538, -3.732, 5.032]], "species": ["Bi", "Bi", "Sn", "Ba", "Ba"], "frac_coords": [[0.325, 0.325, 0.350], [0.675, 0.675, 0.650], [0.000, 0.000, 0.000], [0.750, 0.250, 0.500], [0.250, 0.750, 0.500]]}



[8]
{"formula": "BaSn9Bi2", "functional": "PBE", "state": "optimized geometry", "space_group": "R-3m, No. 166", "magnetic_moment_mub_per_cell": 0.00, "e_tot_ha_per_atom": -0.141, "dos_at_fermi_per_ev_fu": 9.03, "e_form_mev_per_atom": -22.1, "cell": [[6.649, 0.000, 0.000], [3.324, 5.758, 0.000], [3.324, 1.919, 9.834]], "species": ["Ba", "Sn", "Sn", "Sn", "Sn", "Sn", "Sn", "Sn", "Sn", "Sn", "Bi", "Bi"], "frac_coords": [[0.000, 0.000, 0.000], [0.658, 0.658, 0.027], [0.342, 0.342, 0.973], [0.500, 0.500, 0.500], [0.402, 0.402, 0.266], [0.931, 0.402, 0.266], [0.402, 0.931, 0.266], [0.598, 0.598, 0.734], [0.598, 0.069, 0.734], [0.069, 0.598, 0.734], [0.873, 0.873, 0.380], [0.127, 0.127, 0.620]]}



[9]
{"formula": "Ba4SnBi4", "functional": "PBE", "state": "optimized geometry", "space_group": "P4_2/nmc, No. 137", "magnetic_moment_mub_per_cell": 0.00, "e_tot_ha_per_atom": -0.139, "dos_at_fermi_per_ev_fu": 1.72, "e_form_mev_per_atom": -745.2, "cell": [[7.522, 0.000, 0.000], [0.000, 10.331, 0.000], [0.000, 0.000, 10.331]], "species": ["Ba", "Ba", "Ba", "Ba", "Ba", "Ba", "Ba", "Ba", "Sn", "Sn", "Bi", "Bi", "Bi", "Bi", "Bi", "Bi", "Bi", "Bi"], "frac_coords": [[0.305, 0.262, 0.000], [0.805, 0.500, 0.762], [0.305, 0.738, 0.000], [0.195, 0.238, 0.500], [0.695, 0.000, 0.738], [0.195, 0.762, 0.500], [0.805, 0.500, 0.238], [0.695, 0.000, 0.262], [0.000, 0.000, 0.000], [0.500, 0.500, 0.500], [0.716, 0.740, 0.500], [0.716, 0.260, 0.500], [0.216, 0.000, 0.760], [0.784, 0.240, 0.000], [0.784, 0.760, 0.000], [0.284, 0.500, 0.260], [0.284, 0.500, 0.740], [0.216, 0.000, 0.240]]}



[10]
{"formula": "BaSnBi4", "functional": "PBE", "state": "optimized geometry", "space_group": "P-1, No. 2", "magnetic_moment_mub_per_cell": 0.00, "e_tot_ha_per_atom": -0.137, "dos_at_fermi_per_ev_fu": 3.26, "e_form_mev_per_atom": -166.3, "polymorph_energy_kj_per_mol_atoms": 0.7, "cell": [[-5.204, 0.318, -4.364], [3.287, -2.447, -5.686], [-2.444, -8.021, 5.823]], "species": ["Ba", "Ba", "Sn", "Sn", "Bi", "Bi", "Bi", "Bi", "Bi", "Bi", "Bi", "Bi"], "frac_coords": [[0.782, 0.764, 0.997], [0.218, 0.236, 0.003], [0.500, 0.000, 0.500], [0.000, 0.500, 0.500], [0.657, 0.195, 0.845], [0.749, 0.358, 0.183], [0.343, 0.805, 0.155], [0.251, 0.642, 0.817], [0.984, 0.962, 0.652], [0.361, 0.536, 0.366], [0.016, 0.038, 0.348], [0.639, 0.464, 0.634]]}



[11]
{"formula": "BaSn3Bi", "functional": "PBE", "state": "optimized geometry", "space_group": "Cmcm, No. 63", "magnetic_moment_mub_per_cell": 0.00, "e_tot_ha_per_atom": -0.141, "dos_at_fermi_per_ev_fu": 2.40, "e_form_mev_per_atom": -283.4, "polymorph_energy_kj_per_mol_atoms": 0.0, "cell": [[4.743, 0.000, 0.000], [0.000, 4.996, 0.000], [0.000, -2.498, 14.900]], "species": ["Ba", "Ba", "Sn", "Sn", "Sn", "Sn", "Sn", "Sn", "Bi", "Bi"], "frac_coords": [[0.250, 0.078, 0.156], [0.750, 0.922, 0.844], [0.250, 0.372, 0.744], [0.750, 0.628, 0.256], [0.250, 0.472, 0.944], [0.750, 0.528, 0.056], [0.750, 0.303, 0.606], [0.250, 0.697, 0.394], [0.250, 0.807, 0.614], [0.750, 0.193, 0.386]]}



[12]
{"formula": "BaSnBi2", "functional": "PBE", "state": "optimized geometry", "space_group": "R-3m, No. 166", "magnetic_moment_mub_per_cell": 0.11, "e_tot_ha_per_atom": -0.122, "dos_at_fermi_per_ev_fu": 3.41, "e_form_mev_per_atom": 97.6, "cell": [[4.134, 0.000, 0.000], [2.067, 3.580, 0.000], [2.067, 1.193, 11.029]], "species": ["Bi", "Bi", "Sn", "Ba"], "frac_coords": [[0.106, 0.106, 0.682], [0.894, 0.894, 0.318], [0.500, 0.500, 0.500], [0.000, 0.000, 0.000]]}